No. 1
Entry from Alexandria: TlSbMo2H after structural relaxation (PBE).

abc: 5.270 5.270 3.487
angles: 90.00 90.00 90.00
Space group P4/mmm (No. 123)
Unique sites:
Tl1 0.000 0.000 0.000
Sb1 0.500 0.500 0.500
Mo1 0.000 0.500 0.000
H1 0.000 0.000 0.500

Uncorrected energy   -4.850 eV per atom

---

No. 2
Entry from Alexandria: V2SbMoH after structural relaxation (PBE).

abc: 4.008 4.008 4.049
angles: 90.00 90.00 90.00
Space group P4/mmm (No. 123)
Unique sites:
V1 0.000 0.500 0.000
Sb1 0.000 0.000 0.500
Mo1 0.500 0.500 0.500
H1 0.500 0.500 0.000

Uncorrected energy   -7.288 eV per atom

---

No. 3
Entry from Alexandria: Sb2MoHW after structural relaxation (PBE).

abc: 5.251 5.251 3.412
angles: 90.00 90.00 90.00
Space group P4/mmm (No. 123)
Unique sites:
Sb1 0.000 0.500 0.000
Mo1 0.000 0.000 0.000
H1 0.000 0.000 0.500
W1 0.500 0.500 0.500

Uncorrected energy   -5.991 eV per atom

---

No. 4
Entry from Alexandria: YSb2MoH after structural relaxation (PBE).

abc: 5.366 5.366 3.667
angles: 90.00 90.00 90.00
Space group P4/mmm (No. 123)
Unique sites:
Y1 0.000 0.000 0.000
Sb1 0.000 0.500 0.500
Mo1 0.500 0.500 0.500
H1 0.500 0.500 0.000

Uncorrected energy   -5.790 eV per atom

---

No. 5
Entry from Alexandria: Zr2SbMoH after structural relaxation (PBE).

abc: 4.485 4.485 4.077
angles: 90.00 90.00 90.00
Space group P4/mmm (No. 123)
Unique sites:
Zr1 0.000 0.500 0.000
Sb1 0.000 0.000 0.500
Mo1 0.500 0.500 0.500
H1 0.500 0.500 0.000

Uncorrected energy   -7.403 eV per atom

---

No. 6
Entry from Alexandria: ScMoH3 after structural relaxation (PBE).

abc: 3.559 3.559 3.559
angles: 90.00 90.00 90.00
Space group Pm-3m (No. 221)
Unique sites:
Sc1 0.000 0.000 0.000
Mo1 0.500 0.500 0.500
H1 0.000 0.000 0.500

Distance to the lowest polymorph of the same formula   590 meV/atom

---

No. 7
Entry from Alexandria: Sc3MoH after structural relaxation (PBE).

abc: 5.035 5.035 5.035
angles: 90.00 90.00 90.00
Space group Pm-3m (No. 221)
Unique sites:
Sc1 0.000 0.000 0.500
Mo1 0.000 0.000 0.000
H1 0.500 0.500 0.500

Distance to the lowest polymorph of the same formula   977 meV/atom

---

No. 8
Entry from Alexandria: Sc3Mo5H12 after structural relaxation (PBE).

abc: 11.161 11.161 11.161
angles: 90.00 90.00 90.00
Space group Ia-3d (No. 230)
Unique sites:
Sc1 0.000 0.250 0.125
Mo1 0.000 0.000 0.000
Mo2 0.000 0.250 0.375
H1 0.013 0.068 0.650

Uncorrected energy   -5.868 eV per atom

---

No. 9
Entry from Alexandria: ScMoH3 after structural relaxation (PBE).

abc: 3.560 3.560 3.560
angles: 90.00 90.00 90.00
Space group Pm-3m (No. 221)
Unique sites:
Sc1 0.000 0.000 0.000
Mo1 0.500 0.500 0.500
H1 0.000 0.500 0.500

Distance to the lowest polymorph of the same formula   0 meV/atom

---

No. 10
Entry from Alexandria: ScMoH2 after structural relaxation (PBE).

abc: 4.909 4.909 6.929
angles: 90.00 90.00 90.00
Space group I-42d (No. 122)
Unique sites:
Sc1 0.000 0.000 0.000
Mo1 0.000 0.000 0.500
H1 0.221 0.750 0.625

Distance to the lowest polymorph of the same formula   0 meV/atom

---

No. 11
Entry from Alexandria: ScMoH6 after structural relaxation (PBE).

abc: 4.411 4.411 6.075
angles: 90.00 90.00 90.00
Space group P4_2/m (No. 84)
Unique sites:
Sc1 0.000 0.000 0.000
Mo1 0.500 0.500 0.250
H1 0.168 0.261 0.246
H2 0.262 0.504 0.500

Uncorrected energy   -4.769 eV per atom

---

No. 12
Entry from Alexandria: Sc2MoH2 after structural relaxation (PBE).

abc: 3.041 3.041 13.862
angles: 90.00 90.00 90.00
Space group I4/mmm (No. 139)
Unique sites:
Sc1 0.000 0.000 0.153
Mo1 0.000 0.000 0.500
H1 0.000 0.500 0.250

Uncorrected energy   -6.252 eV per atom

---

No. 13
Entry from Alexandria: ScMoH2 after structural relaxation (PBE).

abc: 5.492 5.492 5.492
angles: 90.00 90.00 90.00
Space group Fm-3m (No. 225)
Unique sites:
Sc1 0.000 0.000 0.000
Mo1 0.000 0.000 0.500
H1 0.250 0.250 0.250

Distance to the lowest polymorph of the same formula   588 meV/atom

---

No. 14
Entry from Alexandria: Sc3MoH after structural relaxation (PBE).

abc: 4.371 4.371 4.371
angles: 90.00 90.00 90.00
Space group Pm-3m (No. 221)
Unique sites:
Sc1 0.000 0.000 0.500
Mo1 0.500 0.500 0.500
H1 0.000 0.000 0.000

Distance to the lowest polymorph of the same formula   0 meV/atom

---

No. 15
Entry from Alexandria: Sc2MoHSe after structural relaxation (PBE).

abc: 5.056 5.056 3.539
angles: 90.00 90.00 90.00
Space group P4/mmm (No. 123)
Unique sites:
Sc1 0.000 0.500 0.000
Mo1 0.000 0.000 0.000
H1 0.000 0.000 0.500
Se1 0.500 0.500 0.500

Distance to the lowest polymorph of the same formula   0 meV/atom

---

No. 16
Entry from Alexandria: Sc2MoHSe after structural relaxation (PBE).

abc: 5.244 5.244 3.288
angles: 90.00 90.00 90.00
Space group P4/mmm (No. 123)
Unique sites:
Sc1 0.000 0.500 0.000
Mo1 0.000 0.000 0.500
H1 0.500 0.500 0.500
Se1 0.500 0.500 0.000

Distance to the lowest polymorph of the same formula   251 meV/atom

---

No. 17
Entry from Alexandria: Sc2SnMoH after structural relaxation (PBE).

abc: 4.614 4.614 3.797
angles: 90.00 90.00 90.00
Space group P4/mmm (No. 123)
Unique sites:
Sc1 0.000 0.500 0.000
Sn1 0.000 0.000 0.500
Mo1 0.500 0.500 0.500
H1 0.500 0.500 0.000

Uncorrected energy   -6.547 eV per atom

---

No. 18
Entry from Alexandria: ScTlMo2H after structural relaxation (PBE).

abc: 5.408 5.408 3.223
angles: 90.00 90.00 90.00
Space group P4/mmm (No. 123)
Unique sites:
Sc1 0.000 0.000 0.000
Tl1 0.500 0.500 0.500
Mo1 0.000 0.500 0.500
H1 0.500 0.500 0.000

Uncorrected energy   -5.216 eV per atom

---

No. 19
Entry from Alexandria: MoH3Se after structural relaxation (PBE).

abc: 3.612 3.612 3.612
angles: 90.00 90.00 90.00
Space group Pm-3m (No. 221)
Unique sites:
Mo1 0.000 0.000 0.000
H1 0.000 0.000 0.500
Se1 0.500 0.500 0.500

Distance to the lowest polymorph of the same formula   0 meV/atom

---

No. 20
Entry from Alexandria: MoH3Se after structural relaxation (PBE).

abc: 3.571 3.571 3.571
angles: 90.00 90.00 90.00
Space group Pm-3m (No. 221)
Unique sites:
Mo1 0.000 0.000 0.000
H1 0.000 0.500 0.500
Se1 0.500 0.500 0.500

Distance to the lowest polymorph of the same formula   754 meV/atom

---

No. 21
Entry from Alexandria: MoHSe after structural relaxation (PBE).

abc: 16.247 5.396 5.388
angles: 90.00 90.00 90.00
Space group Cmce (No. 64)
Unique sites:
Mo1 0.250 0.250 0.250
H1 0.000 0.016 0.068
Se1 0.142 0.000 0.500

Uncorrected energy   -6.049 eV per atom

---

No. 22
Entry from Alexandria: MoH2Se after structural relaxation (PBE).

abc: 5.567 5.567 5.401
angles: 90.00 90.00 90.00
Space group I-42d (No. 122)
Unique sites:
Mo1 0.000 0.000 0.000
H1 0.164 0.250 0.125
Se1 0.000 0.000 0.500

Distance to the lowest polymorph of the same formula   0 meV/atom

---

No. 23
Entry from Alexandria: MoHSe3 after structural relaxation (PBE).

abc: 4.943 4.943 4.943
angles: 90.00 90.00 90.00
Space group Pm-3m (No. 221)
Unique sites:
Mo1 0.000 0.000 0.000
H1 0.500 0.500 0.500
Se1 0.000 0.000 0.500

Distance to the lowest polymorph of the same formula   0 meV/atom